(1)
K5Au: relaxed, PBE-GGA.

Cell lengths 6.5313, 4.7030, 11.6599 Å; angles 101.63, 90.00, 90.00 degrees
Closest atoms and distances in Å follow each position.
Fractional coordinates of all 6 atoms:
K: 0.5000 0.8281 0.6563  10 K 4.27-4.70
K: 0.0000 0.3942 0.7883  2 Au 3.37
K: 0.5000 0.1719 0.3437  10 K 4.27-4.70
K: 0.0000 0.6058 0.2117  2 Au 3.37
K: 0.5000 0.5000 0.0000  4 Au 4.02, 4 K 4.06
Au: 0.0000 0.0000 0.0000  4 K 3.37

Output
* offset from the most stable computed form: 64.5 meV per atom
* formation enthalpy at 0 K: -40.7 meV/atom
* SG: Cmmm (65)
* density of states at the Fermi level: 3.1 states/eV per cell

***

(2)
AcCeN: relaxed, PBE-GGA.

Cell lengths 6.6605, 3.7211, 3.7211 Å; angles 120.00, 90.00, 90.00 degrees
Closest atoms and distances in Å follow each position.
Fractional coordinates of all 3 atoms:
Ac: 0.7658 0.6667 0.3333  3 N 2.80
Ce: 0.1996 0.3333 0.6667  3 N 2.41
N: 0.0346 0.0000 0.0000  3 Ce 2.41

Output
* offset from the most stable computed form: 0.0 meV per atom
* ΔE_f (raw): -738 meV per atom
* SG: P3m1 (156)
* density of states at the Fermi level: 4.8 states/eV per cell

***

(3)
SrMn2Se: relaxed, PBE-GGA.

Cell lengths 4.1462, 4.1506, 5.6791 Å; angles 90.00, 90.00, 90.00 degrees
Closest atoms and distances in Å follow each position.
Fractional coordinates of all 4 atoms:
Mn: 0.0000 0.0000 0.0000  4 Mn 2.93
Mn: 0.5000 0.5000 0.0000  4 Mn 2.93
Se: 0.5000 0.0000 0.5000  4 Sr 2.93
Sr: 0.0000 0.5000 0.5000  4 Se 2.93

Output
* ΔE_f (raw): 116 meV per atom
* SG: P4/mmm (123)
* density of states at the Fermi level: 4.0 states/eV per cell

***

(4)
BaSr2In3: relaxed, PBE-GGA.

Cell lengths 4.1539, 4.1539, 12.3636 Å; angles 90.00, 90.00, 90.00 degrees
Closest atoms and distances in Å follow each position.
Fractional coordinates of all 6 atoms:
In: 0.0000 0.0000 0.6824  4 Sr 3.52, 4 Ba 3.70, 1 In 3.93
In: 0.0000 0.0000 0.0000  8 Sr 3.55, 2 In 3.93
In: 0.0000 0.0000 0.3176  4 Sr 3.52, 4 Ba 3.70, 1 In 3.93
Sr: 0.5000 0.5000 0.1606  8 In 3.52-3.55
Sr: 0.5000 0.5000 0.8394  8 In 3.52-3.55
Ba: 0.5000 0.5000 0.5000  8 In 3.70

Output
* formation enthalpy at 0 K: -417.0 meV/atom
* SG: P4/mmm (123)
* density of states at the Fermi level: 4.3 states/eV per cell

***

(5)
Mg4Si3: relaxed, PBE-GGA.

Cell lengths 7.0110, 7.1104, 7.4193 Å; angles 66.44, 61.71, 64.38 degrees
Closest atoms and distances in Å follow each position.
Fractional coordinates of all 14 atoms:
Mg: 0.0937 0.3393 0.4153  5 Si 2.73-2.99, 1 Mg 3.04
Mg: 0.5883 0.6974 0.3717  5 Si 2.71-2.92, 1 Mg 3.01
Mg: 0.2641 0.9992 0.7960  5 Si 2.78-2.96, 1 Mg 3.01
Mg: 0.9136 0.3512 0.1008  4 Si 2.64-2.83
Mg: 0.9140 0.8941 0.3616  4 Si 2.66-2.82
Mg: 0.4104 0.6126 0.1220  5 Si 2.70-2.99, 2 Mg 3.01
Mg: 0.7500 0.9142 0.8408  5 Si 2.73-3.02
Mg: 0.3884 0.3990 0.8281  5 Si 2.73-2.92, 1 Mg 3.06
Si: 0.5179 0.2892 0.4559  1 Si 2.45
Si: 0.2965 0.0232 0.1699  1 Si 2.46, 1 Mg 2.74
Si: 0.8256 0.2687 0.8332  2 Si 2.42-2.45, 1 Mg 2.66
Si: 0.5728 0.1345 0.1869  3 Si 2.45-2.46
Si: 0.6814 0.6530 0.7049  1 Si 2.42, 1 Mg 2.66
Si: 0.0332 0.6743 0.0631  8 Mg 2.64-2.90

Output
* offset from the most stable computed form: 56.5 meV per atom
* ΔE_f (raw): 24 meV per atom
* SG: P1 (1)
* density of states at the Fermi level: 3.9 states/eV per cell

***

(6)
PmMg2In: relaxed, PBE-GGA.

Cell lengths 4.8811, 4.5900, 4.5900 Å; angles 90.00, 90.00, 90.00 degrees
Closest atoms and distances in Å follow each position.
Fractional coordinates of all 4 atoms:
Mg: 0.0000 0.5000 0.0000  4 Mg 3.25, 4 In 3.35, 4 Pm 3.35
Mg: 0.0000 0.0000 0.5000  4 Mg 3.25, 4 In 3.35, 4 Pm 3.35
Pm: 0.5000 0.5000 0.5000  4 In 3.25, 8 Mg 3.35
In: 0.5000 0.0000 0.0000  4 Pm 3.25, 8 Mg 3.35

Output
* offset from the most stable computed form: 0.0 meV per atom
* formation enthalpy at 0 K: -292.8 meV/atom
* SG: P4/mmm (123)
* density of states at the Fermi level: 2.3 states/eV per cell

***

(7)
BiPbO2: relaxed, PBE-GGA.

Cell lengths 3.1317, 3.1317, 7.0574 Å; angles 90.00, 90.00, 90.00 degrees
Closest atoms and distances in Å follow each position.
Fractional coordinates of all 4 atoms:
Pb: 0.5000 0.5000 0.5000  8 O 3.11, 4 Pb 3.13
Bi: 0.5000 0.5000 0.0000  8 O 2.59
O: 0.0000 0.0000 0.1909  4 Bi 2.59, 1 O 2.69
O: 0.0000 0.0000 0.8091  4 Bi 2.59, 1 O 2.69

Output
* offset from the most stable computed form: 462.4 meV per atom
* ΔE_f (raw): -447 meV per atom
* SG: P4/mmm (123)
* density of states at the Fermi level: 1.1 states/eV per cell

***

(8)
AlCrIr2: relaxed, PBE-GGA.

Cell lengths 8.7350, 8.7350, 8.7350 Å; angles 18.00, 18.00, 18.00 degrees
Closest atoms and distances in Å follow each position.
Fractional coordinates of all 4 atoms:
Ir: 0.2462 0.2462 0.2462  3 Al 2.62, 9 Ir 2.73-2.87
Ir: 0.0057 0.0057 0.0057  3 Cr 2.54, 6 Ir 2.73
Cr: 0.7497 0.7497 0.7497  3 Ir 2.54, 3 Al 2.64, 6 Cr 2.73
Al: 0.4983 0.4983 0.4983  3 Ir 2.62, 3 Cr 2.64, 6 Al 2.73

Output
* formation enthalpy at 0 K: -173.9 meV/atom
* SG: R3m (160)
* density of states at the Fermi level: 5.6 states/eV per cell

***

(9)
KCd12Ag4: relaxed, PBE-GGA.

Cell lengths 8.4678, 8.4678, 8.4678 Å; angles 109.47, 109.47, 109.47 degrees
Closest atoms and distances in Å follow each position.
Fractional coordinates of all 17 atoms:
Cd: 0.8442 0.3504 0.1945  2 Ag 2.79, 2 Cd 2.93-3.05
Cd: 0.3504 0.5062 0.1558  2 Ag 2.79, 2 Cd 2.93-3.05
Cd: 0.4938 0.8442 0.6496  2 Ag 2.79, 2 Cd 2.93-3.05
Cd: 0.8442 0.6496 0.4938  2 Ag 2.79, 2 Cd 2.93-3.05
Cd: 0.3504 0.1945 0.8442  2 Ag 2.79, 2 Cd 2.93-3.05
Cd: 0.6496 0.4938 0.8442  2 Ag 2.79, 2 Cd 2.93-3.05
Cd: 0.1558 0.3504 0.5062  2 Ag 2.79, 2 Cd 2.93-3.05
Cd: 0.1945 0.8442 0.3504  2 Ag 2.79, 2 Cd 2.93-3.05
Cd: 0.6496 0.8055 0.1558  2 Ag 2.79, 2 Cd 2.93-3.05
Cd: 0.8055 0.1558 0.6496  2 Ag 2.79, 2 Cd 2.93-3.05
Cd: 0.1558 0.6496 0.8055  2 Ag 2.79, 2 Cd 2.93-3.05
Cd: 0.5062 0.1558 0.3504  2 Ag 2.79, 2 Cd 2.93-3.05
Ag: 0.0000 0.0000 0.5000  6 Cd 2.79
Ag: 0.5000 0.5000 0.5000  6 Cd 2.79
Ag: 0.0000 0.5000 0.0000  6 Cd 2.79
Ag: 0.5000 0.0000 0.0000  6 Cd 2.79
K: 0.0000 0.0000 0.0000  12 Cd 3.75

Output
* formation enthalpy at 0 K: 121.2 meV/atom
* SG: Im-3 (204)
* density of states at the Fermi level: 7.7 states/eV per cell

***

(10)
MnBeSe2: relaxed, PBE-GGA.

Cell lengths 6.4896, 7.1883, 3.5360 Å; angles 90.09, 90.00, 73.58 degrees
Closest atoms and distances in Å follow each position.
Fractional coordinates of all 8 atoms:
Se: 0.4914 0.9337 0.1572  3 Be 2.21-2.31, 1 Mn 2.42
Se: 0.9433 0.4182 0.1600  3 Mn 2.28-2.35
Se: 0.4629 0.4054 0.6586  3 Be 2.21-2.31, 1 Mn 2.42
Se: 0.0109 0.9212 0.6584  3 Mn 2.28-2.35
Mn: 0.1090 0.0932 0.1589  4 Se 2.28-2.42, 1 Be 2.33, 2 Mn 2.49
Mn: 0.8452 0.2462 0.6593  4 Se 2.28-2.42, 1 Be 2.33, 2 Mn 2.49
Be: 0.5922 0.0712 0.6573  3 Se 2.21-2.31, 1 Mn 2.33
Be: 0.3624 0.2676 0.1579  3 Se 2.21-2.31, 1 Mn 2.33

Output
* ΔE_f (raw): -319 meV per atom
* SG: P1 (1)
* density of states at the Fermi level: 5.0 states/eV per cell

***

(11)
K2LaBe: relaxed, PBE-GGA.

Cell lengths 6.8241, 3.7931, 5.6601 Å; angles 87.37, 90.00, 90.00 degrees
Closest atoms and distances in Å follow each position.
Fractional coordinates of all 4 atoms:
K: 0.0000 0.5253 0.5211  3 K 3.17-3.44
K: 0.0000 0.9747 0.9789  3 K 3.17-3.44
La: 0.5000 0.2500 0.2500  4 Be 3.33-3.48
Be: 0.5000 0.7500 0.7500  4 La 3.33-3.48

Output
* formation enthalpy at 0 K: 774.2 meV/atom
* SG: P2/m (10)
* density of states at the Fermi level: 3.9 states/eV per cell

***

(12)
MnInPb3: relaxed, PBE-GGA.

Cell lengths 5.2721, 5.2721, 5.2721 Å; angles 90.00, 90.00, 90.00 degrees
Closest atoms and distances in Å follow each position.
Fractional coordinates of all 5 atoms:
In: 0.5000 0.5000 0.5000  12 Pb 3.73
Pb: 0.0000 0.0000 0.5000  2 Mn 2.64
Pb: 0.5000 0.0000 0.0000  2 Mn 2.64
Pb: 0.0000 0.5000 0.0000  2 Mn 2.64
Mn: 0.0000 0.0000 0.0000  6 Pb 2.64

Output
* offset from the most stable computed form: 0.0 meV per atom
* formation enthalpy at 0 K: 283.2 meV/atom
* SG: Pm-3m (221)
* density of states at the Fermi level: 2.2 states/eV per cell

***

(13)
KBr2Cl2: relaxed, PBE-GGA.

Cell lengths 4.9929, 4.9929, 9.8112 Å; angles 90.00, 90.00, 120.00 degrees
Closest atoms and distances in Å follow each position.
Fractional coordinates of all 5 atoms:
Cl: 0.3333 0.6667 0.1336  1 Br 2.45
Cl: 0.6667 0.3333 0.8664  1 Br 2.45
Br: 0.3333 0.6667 0.3830  1 Cl 2.45
Br: 0.6667 0.3333 0.6170  1 Cl 2.45
K: 0.0000 0.0000 0.0000  6 Cl 3.17

Output
* offset from the most stable computed form: 211.5 meV per atom
* ΔE_f (raw): -495 meV per atom
* SG: P-3m1 (164)
* density of states at the Fermi level: 4.5 states/eV per cell

***

(14)
LiUNi4: relaxed, PBE-GGA.

Cell lengths 4.8507, 4.8507, 4.8507 Å; angles 60.00, 60.00, 60.00 degrees
Closest atoms and distances in Å follow each position.
Fractional coordinates of all 6 atoms:
Ni: 0.6242 0.6242 0.6242  6 Ni 2.41-2.44
Ni: 0.1275 0.6242 0.6242  6 Ni 2.41-2.44
Ni: 0.6242 0.1275 0.6242  6 Ni 2.41-2.44
Ni: 0.6242 0.6242 0.1275  6 Ni 2.41-2.44
Li: 0.2500 0.2500 0.2500  12 Ni 2.84, 4 U 2.97
U: 0.0000 0.0000 0.0000  12 Ni 2.85, 4 Li 2.97

Output
* formation enthalpy at 0 K: -209.1 meV/atom
* SG: F-43m (216)
* density of states at the Fermi level: 5.9 states/eV per cell

***

(15)
LiSnOsPd2: relaxed, PBE-GGA.

Cell lengths 4.1354, 4.5785, 4.1354 Å; angles 90.00, 90.00, 90.00 degrees
Closest atoms and distances in Å follow each position.
Fractional coordinates of all 5 atoms:
Pd: 0.5000 0.0000 0.0000  2 Li 2.07
Pd: 0.0000 0.0000 0.5000  2 Li 2.07
Sn: 0.0000 0.5000 0.0000  2 Li 2.29
Os: 0.5000 0.5000 0.5000  4 Sn 2.92, 8 Pd 3.08
Li: 0.0000 0.0000 0.0000  4 Pd 2.07, 2 Sn 2.29

Output
* formation enthalpy at 0 K: 668.4 meV/atom
* SG: P4/mmm (123)
* density of states at the Fermi level: 4.2 states/eV per cell

***

(16)
CsReTeO6: relaxed, PBE-GGA.

Cell lengths 5.9312, 5.9296, 6.4325 Å; angles 90.68, 89.30, 54.04 degrees
Closest atoms and distances in Å follow each position.
Fractional coordinates of all 9 atoms:
O: 0.3684 0.0134 0.6636  1 Te 1.97, 1 Re 2.04
O: 0.0135 0.3684 0.3364  1 Te 1.97, 1 Re 2.04
O: 0.6030 0.9593 0.3315  1 Re 1.96, 1 Te 2.06
O: 0.5713 0.5119 0.6983  1 Re 1.79
O: 0.9591 0.6028 0.6685  1 Re 1.96, 1 Te 2.06
O: 0.5120 0.5713 0.3016  1 Re 1.79
Re: 0.6587 0.6587 0.5000  4 O 1.79-1.96
Cs: 0.9961 0.9964 0.0000  8 O 3.12-3.44
Te: 0.3177 0.3178 0.5000  4 O 1.97-2.06

Output
* ΔE_f (raw): -1466 meV per atom
* SG: C2 (5)
* density of states at the Fermi level: 0.0 states/eV per cell

***

(17)
NbCd2F11: relaxed, PBE-GGA.

Cell lengths 8.2192, 8.3387, 8.3387 Å; angles 75.77, 60.47, 60.47 degrees
Closest atoms and distances in Å follow each position.
Fractional coordinates of all 28 atoms:
F: 0.0602 0.2001 0.5093  1 Nb 2.04, 1 Cd 2.26
F: 0.9398 0.7999 0.4907  1 Nb 2.04, 1 Cd 2.26
F: 0.9495 0.4253 0.2919  1 Nb 2.05, 1 Cd 2.24
F: 0.2695 0.2999 0.9907  1 Nb 2.04, 1 Cd 2.26
F: 0.4421 0.6602 0.3398  1 F 1.71
F: 0.7695 0.4907 0.7999  1 Nb 2.04, 1 Cd 2.26
F: 0.0579 0.1602 0.8398  1 F 1.71
F: 0.5579 0.3398 0.6602  1 F 1.71
F: 0.5602 0.0093 0.7001  1 Nb 2.04, 1 Cd 2.26
F: 0.5505 0.2081 0.0747  1 Nb 2.05, 1 Cd 2.24
F: 0.6668 0.7081 0.5747  1 Nb 2.05, 1 Cd 2.24
F: 0.0000 0.0000 0.0000  2 F 1.71
F: 0.7305 0.7001 0.0093  1 Nb 2.04, 1 Cd 2.26
F: 0.8332 0.9253 0.7919  1 Nb 2.05, 1 Cd 2.24
F: 0.1668 0.0747 0.2081  1 Nb 2.05, 1 Cd 2.24
F: 0.2305 0.5093 0.2001  1 Nb 2.04, 1 Cd 2.26
F: 0.3332 0.2919 0.4253  1 Nb 2.05, 1 Cd 2.24
F: 0.4495 0.7919 0.9253  1 Nb 2.05, 1 Cd 2.24
F: 0.5000 0.5000 0.5000  2 F 1.71
F: 0.9421 0.8398 0.1602  1 F 1.71
F: 0.0505 0.5747 0.7081  1 Nb 2.05, 1 Cd 2.24
F: 0.4398 0.9907 0.2999  1 Nb 2.04, 1 Cd 2.26
Cd: 0.2846 0.2838 0.7162  6 F 2.24-2.32
Cd: 0.2154 0.7838 0.2162  6 F 2.24-2.32
Cd: 0.7846 0.2162 0.7838  6 F 2.24-2.32
Cd: 0.7154 0.7162 0.2838  6 F 2.24-2.32
Nb: 0.7500 0.7500 0.7500  8 F 2.04-2.05
Nb: 0.2500 0.2500 0.2500  8 F 2.04-2.05

Output
* ΔE_f (raw): -2174 meV per atom
* SG: Ibam (72)

***

(18)
TbBiSbO6: relaxed, PBE-GGA.

Cell lengths 5.6554, 5.6554, 9.3067 Å; angles 90.00, 90.00, 120.00 degrees
Closest atoms and distances in Å follow each position.
Fractional coordinates of all 18 atoms:
O: 0.6698 0.6351 0.1317  1 Sb 2.02
O: 0.6698 0.0348 0.3683  1 Sb 2.02
O: 0.3302 0.9652 0.6317  1 Sb 2.02
O: 0.3649 0.0348 0.1317  1 Sb 2.02
O: 0.6351 0.6698 0.6317  1 Sb 2.02
O: 0.3649 0.3302 0.3683  1 Sb 2.02
O: 0.9652 0.3302 0.1317  1 Sb 2.02
O: 0.3302 0.3649 0.8683  1 Sb 2.02
O: 0.0348 0.6698 0.8683  1 Sb 2.02
O: 0.0348 0.3649 0.6317  1 Sb 2.02
O: 0.9652 0.6351 0.3683  1 Sb 2.02
O: 0.6351 0.9652 0.8683  1 Sb 2.02
Sb: 0.3333 0.6667 0.7500  6 O 2.02
Sb: 0.6667 0.3333 0.2500  6 O 2.02
Tb: 0.6667 0.3333 0.7500  6 O 2.28
Tb: 0.3333 0.6667 0.2500  6 O 2.28
Bi: 0.0000 0.0000 0.5000  6 O 2.32
Bi: 0.0000 0.0000 0.0000  6 O 2.32

Output
* ΔE_f (raw): -1790 meV per atom
* SG: P-31c (163)
* density of states at the Fermi level: 8.1 states/eV per cell

***

(19)
Ce4Th3Ga4: relaxed, PBE-GGA.

Cell lengths 3.8790, 9.7492, 9.4121 Å; angles 121.19, 101.89, 90.00 degrees
Closest atoms and distances in Å follow each position.
Fractional coordinates of all 11 atoms:
Ce: 0.6905 0.9080 0.3810  2 Ce 2.76, 4 Ga 2.96-3.03
Ce: 0.6905 0.4729 0.3810  2 Ce 2.76, 4 Ga 2.96-3.03
Ce: 0.3095 0.5271 0.6190  2 Ce 2.76, 4 Ga 2.96-3.03
Ce: 0.3095 0.0920 0.6190  2 Ce 2.76, 4 Ga 2.96-3.03
Th: 0.0000 0.5000 0.0000  6 Ga 3.32-3.70
Th: 0.8975 0.8975 0.7951  6 Ga 3.17-3.33, 1 Th 3.20
Th: 0.1025 0.1025 0.2049  6 Ga 3.17-3.33, 1 Th 3.20
Ga: 0.2369 0.7369 0.4739  6 Ce 2.96-2.98, 2 Th 3.17
Ga: 0.7631 0.2631 0.5261  6 Ce 2.96-2.98, 2 Th 3.17
Ga: 0.5000 0.7766 0.0000  2 Ce 3.03, 6 Th 3.32-3.33
Ga: 0.5000 0.2234 0.0000  2 Ce 3.03, 6 Th 3.32-3.33

Output
* formation enthalpy at 0 K: -226.5 meV/atom
* SG: Immm (71)
* density of states at the Fermi level: 18.6 states/eV per cell

***

(20)
ZnAg12Au7: relaxed, PBE-GGA.

Cell lengths 7.6030, 7.6030, 7.6030 Å; angles 106.44, 106.44, 106.44 degrees
Closest atoms and distances in Å follow each position.
Fractional coordinates of all 20 atoms:
Ag: 0.5825 0.9639 0.6893  6 Ag 2.84-3.07, 4 Au 2.87-3.01
Ag: 0.3107 0.4175 0.0361  6 Ag 2.84-3.07, 4 Au 2.87-3.01
Ag: 0.6332 0.7714 0.3352  4 Au 2.80-2.94, 7 Ag 2.84-3.05
Ag: 0.7714 0.3352 0.6332  4 Au 2.80-2.94, 7 Ag 2.84-3.05
Ag: 0.4175 0.0361 0.3107  6 Ag 2.84-3.07, 4 Au 2.87-3.01
Ag: 0.3668 0.2286 0.6648  4 Au 2.80-2.94, 7 Ag 2.84-3.05
Ag: 0.9639 0.6893 0.5825  6 Ag 2.84-3.07, 4 Au 2.87-3.01
Ag: 0.6648 0.3668 0.2286  4 Au 2.80-2.94, 7 Ag 2.84-3.05
Ag: 0.6893 0.5825 0.9639  6 Ag 2.84-3.07, 4 Au 2.87-3.01
Ag: 0.3352 0.6332 0.7714  4 Au 2.80-2.94, 7 Ag 2.84-3.05
Ag: 0.2286 0.6648 0.3668  4 Au 2.80-2.94, 7 Ag 2.84-3.05
Ag: 0.0361 0.3107 0.4175  6 Ag 2.84-3.07, 4 Au 2.87-3.01
Au: 0.9111 0.3180 0.0187  1 Zn 2.67, 6 Ag 2.82-2.94, 3 Au 2.85-2.94
Au: 0.0889 0.6820 0.9813  1 Zn 2.67, 6 Ag 2.82-2.94, 3 Au 2.85-2.94
Au: 0.3180 0.0187 0.9111  1 Zn 2.67, 6 Ag 2.82-2.94, 3 Au 2.85-2.94
Au: 0.6820 0.9813 0.0889  1 Zn 2.67, 6 Ag 2.82-2.94, 3 Au 2.85-2.94
Au: 0.5000 0.5000 0.5000  6 Ag 2.80
Au: 0.0187 0.9111 0.3180  1 Zn 2.67, 6 Ag 2.82-2.94, 3 Au 2.85-2.94
Au: 0.9813 0.0889 0.6820  1 Zn 2.67, 6 Ag 2.82-2.94, 3 Au 2.85-2.94
Zn: 0.0000 0.0000 0.0000  6 Au 2.67

Output
* formation enthalpy at 0 K: 2.4 meV/atom
* SG: R-3 (148)
* density of states at the Fermi level: 6.3 states/eV per cell